# PBE-GGA Nb4CdGaN2, relaxed
data_Nb4CdGaN2
_chemical_formula_sum 'Nb4 Cd1 Ga1 N2'
_cell_length_a 3.1523
_cell_length_b 3.1523
_cell_length_c 13.9525
_cell_angle_alpha 90.00
_cell_angle_beta 90.00
_cell_angle_gamma 120.00
_space_group_name_H-M_alt 'P -6 m 2'
_space_group_IT_number 187
_space_group_name_Hall 'P -6 2'
loop_
_atom_site_label
_atom_site_fract_x
_atom_site_fract_y
_atom_site_fract_z
Nb1 0.0000 0.0000 0.1543
Nb2 0.3333 0.6667 0.3237
Cd1 0.0000 0.0000 0.5000
Ga1 0.3333 0.6667 0.0000
N1 0.6667 0.3333 0.2411
# Total DFT energy (no corrections) ... -8.1887 eV/atom